! SiBPt4, relaxed, DFT PBE; values from VASP
! Crystal system: monoclinic
! Formation energy from raw total energies (meV/atom): -471
! Space-group type: C2/m (12)
! DOS at the Fermi energy (states/eV per cell): 0.76
&SYSTEM
  ibrav = 0, nat = 6, ntyp = 3
/
ATOMIC_SPECIES
Si 28.09 Si.upf
B 10.81 B.upf
Pt 195.08 Pt.upf
CELL_PARAMETERS angstrom
2.795 -2.793 0.000
2.795 2.793 0.000
-0.531 0.000 5.587
ATOMIC_POSITIONS crystal
Si 0.000 0.000 0.000
B 0.500 0.500 0.500
Pt 0.024 0.521 0.262
Pt 0.479 0.976 0.738
Pt 0.521 0.024 0.262
Pt 0.976 0.479 0.738